Density functional theory data (GGA+U) for Sr2ZrVO6 after structural relaxation.

a b c (Å): 5.676 5.682 5.699
angles (deg): 119.09 119.28 91.23
Fractional coordinates of all 10 atoms:
1 Sr 0.250 0.243 0.495
2 Sr 0.750 0.757 0.505
3 Zr 0.000 0.500 0.000
4 V 0.500 0.000 0.000
5 O 0.220 0.208 0.003
6 O 0.277 0.705 0.954
7 O 0.279 0.783 0.511
8 O 0.721 0.217 0.489
9 O 0.723 0.295 0.046
10 O 0.780 0.792 0.997

**SG**: P-1 (2)
**Crystal system**: triclinic
**Electronic total energy**: -0.2854 hartree per atom